Density functional theory data (PBE-GGA) for a geometry-optimized Cr2SiW structure.

a b c (Å): 4.0955 2.6564 4.9152
angles (deg): 76.34 90.00 90.00
With the nearest neighbours (Å) after each atom.
Positions (direct):
Cr 0.0000 0.0292 0.0177  4 Cr 2.48-2.66, 3 Si 2.50-2.76, 2 W 2.60
Cr 0.5000 0.2560 0.2462  2 Si 2.46, 2 W 2.47-2.54, 4 Cr 2.48-2.66
Si 0.0000 0.4200 0.4901  5 Cr 2.46-2.76, 2 Si 2.66, 4 W 2.71-2.75
W 0.5000 0.7948 0.7460  4 Cr 2.47-2.60, 2 W 2.66, 4 Si 2.71-2.75

Calculated values
total energy	-9.41	eV/atom
density	10.10	g cm⁻³
crystal system	monoclinic
Fermi-level density of states	2.8	states/eV/cell
formation energy (no corrections)	-0.0035	eV/atom

Density functional theory data (PBE-GGA) for a geometry-optimized B2C3 structure.

a b c (Å): 9.9220 9.9220 9.9220
angles (deg): 165.33 164.50 21.41
With the nearest neighbours (Å) after each atom.
Positions (direct):
B 0.9616 0.7116 0.7500  2 C 1.52
B 0.0384 0.2884 0.2500  2 C 1.52
B 0.6324 0.8824 0.2500  4 C 1.65-1.68
B 0.3676 0.1176 0.7500  4 C 1.65-1.68
C 0.7743 0.5243 0.7500  4 C 1.52-1.64
C 0.8178 0.0678 0.2500  2 C 1.52, 2 B 1.65
C 0.5758 0.3258 0.7500  4 B 1.52-1.68
C 0.4242 0.6742 0.2500  4 B 1.52-1.68
C 0.1822 0.9322 0.7500  2 C 1.52, 2 B 1.65
C 0.2257 0.4757 0.2500  4 C 1.52-1.64

Calculated values
total energy	-7.86	eV/atom
density	2.90	g cm⁻³
crystal system	orthorhombic
formation enthalpy at 0 K	1.7	eV per formula unit
Fermi-level density of states	2.1	states/eV/cell

Density functional theory data (PBE-GGA) for a geometry-optimized Zr2RhO structure.

a b c (Å): 6.2241 6.2241 5.7236
angles (deg): 57.06 57.06 90.00
With the nearest neighbours (Å) after each atom.
Positions (direct):
Rh 0.0000 0.0000 0.0000  4 Zr 2.67
Rh 0.7500 0.2500 0.5000  4 Zr 2.67
O 0.5000 0.5000 0.0000  4 Zr 2.14
O 0.2500 0.7500 0.5000  4 Zr 2.14
Zr 0.5596 0.1250 0.2500  2 O 2.14
Zr 0.1904 0.6250 0.2500  2 O 2.14
Zr 0.3750 0.4404 0.7500  2 O 2.14
Zr 0.8750 0.8096 0.7500  2 O 2.14

Calculated values
total energy	-8.69	eV/atom
density	7.06	g cm⁻³
crystal system	tetragonal
Fermi-level density of states	11.4	states/eV/cell
formation energy (no corrections)	-1.3352	eV/atom

Density functional theory data (PBE-GGA) for a geometry-optimized CuRh structure.

a b c (Å): 3.8529 3.8529 3.8529
angles (deg): 60.00 60.00 60.00
With the nearest neighbours (Å) after each atom.
Positions (direct):
Cu 0.0000 0.0000 0.0000  4 Rh 2.36
Rh 0.2500 0.2500 0.2500  4 Cu 2.36

Calculated values
total energy	-4.34	eV/atom
density	6.83	g cm⁻³
crystal system	cubic
formation enthalpy at 0 K	2.8	eV per formula unit
Fermi-level density of states	4.5	states/eV/cell

Density functional theory data (PBE-GGA) for a geometry-optimized LiBeSb2I structure.

a b c (Å): 5.0230 5.0230 5.3404
angles (deg): 90.00 90.00 90.00
With the nearest neighbours (Å) after each atom.
Positions (direct):
I 0.0000 0.0000 0.5000  2 Li 2.67
Sb 0.0000 0.5000 0.0000  2 Li 2.51
Sb 0.5000 0.0000 0.0000  2 Li 2.51
Li 0.0000 0.0000 0.0000  4 Sb 2.51, 2 I 2.67
Be 0.5000 0.5000 0.5000  4 I 3.55, 8 Sb 3.67

Calculated values
total energy	-2.29	eV/atom
density	4.76	g cm⁻³
crystal system	tetragonal
Fermi-level density of states	4.4	states/eV/cell
formation energy (no corrections)	0.7984	eV/atom

Density functional theory data (PBE-GGA) for a geometry-optimized DyB4Rh8 structure.

a b c (Å): 6.5532 6.5532 6.5532
angles (deg): 60.00 60.00 60.00
With the nearest neighbours (Å) after each atom.
Positions (direct):
Dy 0.7500 0.7500 0.7500  4 Rh 2.42
B 0.8946 0.3685 0.3685  6 Rh 2.13-2.18
B 0.3685 0.8946 0.3685  6 Rh 2.13-2.18
B 0.3685 0.3685 0.8946  6 Rh 2.13-2.18
B 0.3685 0.3685 0.3685  6 Rh 2.13-2.18
Rh 0.5826 0.1391 0.1391  3 B 2.13
Rh 0.1391 0.5826 0.1391  3 B 2.13
Rh 0.1391 0.1391 0.5826  3 B 2.13
Rh 0.1391 0.1391 0.1391  3 B 2.13
Rh 0.2027 0.5991 0.5991  3 B 2.18, 1 Dy 2.42
Rh 0.5991 0.2027 0.5991  3 B 2.18, 1 Dy 2.42
Rh 0.5991 0.5991 0.2027  3 B 2.18, 1 Dy 2.42
Rh 0.5991 0.5991 0.5991  3 B 2.18, 1 Dy 2.42

Calculated values
total energy	-6.82	eV/atom
density	8.59	g cm⁻³
crystal system	cubic
formation enthalpy at 0 K	1.5	eV per formula unit
Fermi-level density of states	11.8	states/eV/cell

Density functional theory data (PBE-GGA) for a geometry-optimized Pr4Te3Pt structure.

a b c (Å): 4.3729 7.8511 7.8511
angles (deg): 108.74 90.00 90.00
With the nearest neighbours (Å) after each atom.
Positions (direct):
Pr 0.0000 0.2183 0.2183  2 Pt 2.96, 2 Te 3.20
Pr 0.5000 0.7582 0.2418  1 Pt 3.09, 5 Te 3.17-3.30
Pr 0.0000 0.7817 0.7817  2 Pt 2.96, 2 Te 3.20
Pr 0.5000 0.2418 0.7582  1 Pt 3.09, 5 Te 3.17-3.30
Te 0.0000 0.0000 0.5000  6 Pr 3.17-3.20
Te 0.5000 0.5000 0.5000  6 Pr 3.30-3.38
Te 0.0000 0.5000 0.0000  6 Pr 3.17-3.20
Pt 0.5000 0.0000 0.0000  6 Pr 2.96-3.09

Calculated values
total energy	-5.67	eV/atom
density	7.43	g cm⁻³
crystal system	orthorhombic
Fermi-level density of states	5.6	states/eV/cell
formation energy (no corrections)	-1.3496	eV/atom

Density functional theory data (PBE-GGA) for a geometry-optimized KSc2SnPd structure.

a b c (Å): 5.1617 5.5071 5.1617
angles (deg): 90.00 90.00 90.00
With the nearest neighbours (Å) after each atom.
Positions (direct):
Sc 0.0000 0.0000 0.5000  2 Pd 2.58
Sc 0.5000 0.0000 0.0000  2 Pd 2.58
K 0.0000 0.5000 0.0000  2 Pd 2.75
Sn 0.5000 0.5000 0.5000  4 K 3.65, 8 Sc 3.77
Pd 0.0000 0.0000 0.0000  4 Sc 2.58, 2 K 2.75

Calculated values
total energy	-4.47	eV/atom
density	4.01	g cm⁻³
crystal system	tetragonal
formation enthalpy at 0 K	0.6	eV per formula unit
Fermi-level density of states	4.8	states/eV/cell

Density functional theory data (PBE-GGA) for a geometry-optimized CeLu2Ta structure.

a b c (Å): 5.2204 5.2204 5.2215
angles (deg): 60.01 60.01 60.00
With the nearest neighbours (Å) after each atom.
Positions (direct):
Lu 0.2501 0.2501 0.2497  4 Ta 3.20, 4 Ce 3.20
Lu 0.7499 0.7499 0.7503  4 Ta 3.20, 4 Ce 3.20
Ce 0.5000 0.5000 0.5000  8 Lu 3.20
Ta 0.0000 0.0000 0.0000  8 Lu 3.20

Calculated values
total energy	-6.34	eV/atom
density	11.07	g cm⁻³
crystal system	cubic
formation enthalpy at 0 K	1.5	eV per formula unit
Fermi-level density of states	8.1	states/eV/cell

Density functional theory data (PBE-GGA) for a geometry-optimized CeAlTlAg structure.

a b c (Å): 5.0966 5.0966 5.0966
angles (deg): 60.00 60.00 60.00
With the nearest neighbours (Å) after each atom.
Positions (direct):
Tl 0.2500 0.2500 0.2500  4 Al 3.12, 4 Ce 3.12
Ag 0.7500 0.7500 0.7500  4 Ce 3.12, 4 Al 3.12
Ce 0.0000 0.0000 0.0000  4 Tl 3.12, 4 Ag 3.12
Al 0.5000 0.5000 0.5000  4 Ag 3.12, 4 Tl 3.12

Calculated values
total energy	-3.84	eV/atom
density	8.50	g cm⁻³
crystal system	cubic
formation enthalpy at 0 K	-0.5	eV per formula unit
Fermi-level density of states	6.5	states/eV/cell

Density functional theory data (PBE-GGA) for a geometry-optimized KTbAuSe2 structure.

a b c (Å): 4.9593 7.6716 7.9786
angles (deg): 98.23 90.00 90.00
With the nearest neighbours (Å) after each atom.
Positions (direct):
K 0.1245 0.5000 0.7500  6 Se 3.35-3.50
K 0.8755 0.5000 0.2500  6 Se 3.35-3.50
Tb 0.4936 0.0000 0.2500  4 Se 2.85-2.86, 2 Au 3.16
Tb 0.5064 0.0000 0.7500  4 Se 2.85-2.86, 2 Au 3.16
Au 0.0000 0.0000 0.0000  2 Se 2.61
Au 0.0000 0.0000 0.5000  2 Se 2.61
Se 0.6428 0.7475 0.9675  1 Au 2.61, 2 Tb 2.85-2.86
Se 0.6428 0.2525 0.5325  1 Au 2.61, 2 Tb 2.85-2.86
Se 0.3572 0.7475 0.4675  1 Au 2.61, 2 Tb 2.85-2.86
Se 0.3572 0.2525 0.0325  1 Au 2.61, 2 Tb 2.85-2.86

Calculated values
total energy	-4.29	eV/atom
density	6.11	g cm⁻³
crystal system	monoclinic
Fermi-level density of states	5.3	states/eV/cell
formation energy (no corrections)	-1.0991	eV/atom

Density functional theory data (PBE-GGA) for a geometry-optimized NbHRh3 structure.

a b c (Å): 2.7566 6.6413 6.6413
angles (deg): 131.03 90.00 90.00
With the nearest neighbours (Å) after each atom.
Positions (direct):
H 0.0000 0.4536 0.5464  4 Rh 1.98
Nb 0.5000 0.0798 0.9202  4 Rh 2.40-2.56
Rh 0.5000 0.1733 0.3366  2 H 1.98
Rh 0.5000 0.6634 0.8267  2 H 1.98
Rh 0.0000 0.2579 0.7421  1 H 2.37, 2 Nb 2.56

Calculated values
total energy	-6.57	eV/atom
density	7.29	g cm⁻³
crystal system	orthorhombic
Fermi-level density of states	4.9	states/eV/cell